(1)
Entry from the Alexandria database: a geometry-optimized TbPmPr5Ho2 structure (PBE).

Output
* uncorrected energy: -0.16803 hartree per atom
* formation enthalpy at 0 K: 0.143 eV per atom
* calculated volume: 35.2 A^3/atom
* Fermi-level density of states: 1.57 states/eV/atom

Cell: 5.7024 10.6881 10.7858 Å, 90.00 90.00 105.47°
With the nearest neighbours (Å) after each atom.
Sites, in units of the cell vectors:
Pr (0.0159, 0.0317, 0.0203)  2 Tb 3.31, 3 Ho 3.51-3.62
Pr (0.5195, 0.0391, 0.2436)  2 Tb 3.24-3.40, 2 Ho 3.56, 2 Pr 3.57-3.58
Pr (0.6111, 0.2222, 0.5247)  6 Pr 3.57-3.97, 4 Ho 3.64-3.67, 1 Pm 3.89
Pr (0.7193, 0.4386, 0.8106)  1 Tb 3.10, 1 Ho 3.39, 2 Pr 3.45
Pr (0.2807, 0.5614, 0.3106)  1 Tb 3.10, 1 Ho 3.39, 2 Pr 3.45
Pr (0.3889, 0.7778, 0.0247)  6 Pr 3.57-3.97, 4 Ho 3.64-3.67, 1 Pm 3.89
Pr (0.7046, 0.4092, 0.2032)  3 Pr 3.45-3.84, 1 Tb 3.53, 3 Pm 3.54-3.84, 3 Ho 3.59-3.82
Pr (0.2954, 0.5908, 0.7032)  3 Pr 3.45-3.84, 1 Tb 3.53, 3 Pm 3.54-3.84, 3 Ho 3.59-3.82
Pr (0.9841, 0.9683, 0.5203)  2 Tb 3.31, 3 Ho 3.51-3.62
Pr (0.4805, 0.9609, 0.7436)  2 Tb 3.24-3.40, 2 Ho 3.56, 2 Pr 3.57-3.58
Ho (0.1111, 0.2223, 0.7386)  1 Pm 3.45, 7 Pr 3.52-3.82, 2 Tb 3.73
Ho (0.1164, 0.2328, 0.3148)  8 Pr 3.39-3.64, 1 Pm 3.72
Ho (0.8889, 0.7777, 0.2386)  1 Pm 3.45, 7 Pr 3.52-3.82, 2 Tb 3.73
Ho (0.8836, 0.7672, 0.8148)  8 Pr 3.39-3.64, 1 Pm 3.72
Tb (0.5906, 0.1811, 0.9586)  5 Pr 3.10-3.40
Tb (0.4094, 0.8189, 0.4586)  5 Pr 3.10-3.40
Pm (0.7999, 0.5997, 0.5095)  2 Ho 3.45-3.72, 7 Pr 3.54-3.84, 2 Tb 3.68
Pm (0.2001, 0.4003, 0.0095)  2 Ho 3.45-3.72, 7 Pr 3.54-3.84, 2 Tb 3.68

---

(2)
Entry from the Alexandria database: a geometry-optimized YMg6W structure (PBE).

Output
* uncorrected energy: -0.12321 hartree per atom
* formation enthalpy at 0 K: 0.270 eV per atom
* excess energy over the best structure of this formula in the dataset: 0.0 meV per atom
* calculated volume: 22.0 A^3/atom
* Fermi-level density of states: 0.58 states/eV/atom

Cell: 6.4389 6.4389 5.0213 Å, 90.00 90.00 122.11°
With the nearest neighbours (Å) after each atom.
Sites, in units of the cell vectors:
Y (0.1913, 0.8087, 0.0000)  2 W 2.88, 4 Mg 3.03-3.13
Mg (0.1867, 0.3364, 0.0000)  8 Mg 2.97-3.31, 1 Y 3.03, 2 W 3.17
Mg (0.6636, 0.8133, 0.0000)  8 Mg 2.97-3.31, 1 Y 3.03, 2 W 3.17
Mg (0.6693, 0.3307, 0.0000)  10 Mg 3.08-3.31, 2 Y 3.13
Mg (0.8210, 0.6755, 0.5000)  8 Mg 3.01-3.26, 2 W 3.16-3.28, 2 Y 3.25
Mg (0.8277, 0.1723, 0.5000)  10 Mg 3.08-3.26, 2 W 3.12
Mg (0.3245, 0.1790, 0.5000)  8 Mg 3.01-3.26, 2 W 3.16-3.28, 2 Y 3.25
W (0.3159, 0.6841, 0.5000)  2 Y 2.88, 8 Mg 3.12-3.17

---

(3)
Entry from the Alexandria database: a geometry-optimized SrCaCl2 structure (PBE).

Output
* E_form (uncorrected): -1.525 eV/atom
* uncorrected energy: -0.12382 hartree per atom
* excess energy over the best structure of this formula in the dataset: 162.9 meV per atom
* calculated volume: 38.0 A^3/atom
* Fermi-level density of states: 0.47 states/eV/atom

Cell: 6.0217 6.0217 7.7545 Å, 58.91 58.91 40.34°
With the nearest neighbours (Å) after each atom.
Sites, in units of the cell vectors:
Cl (0.3901, 0.3901, 0.4792)  2 Ca 2.75, 1 Sr 2.96
Cl (0.1099, 0.1099, 0.0208)  2 Ca 2.75, 1 Sr 2.96
Ca (0.7500, 0.7500, 0.7500)  4 Cl 2.75
Sr (0.2500, 0.2500, 0.2500)  2 Cl 2.96

---

Q: What is the formula in the second record?
A: YMg6W

---

Q: What is the Fermi-level density of states in the third record?
A: 0.47 states/eV/atom

---

Q: Which of these has the lowest Fermi-level density of states?
A: SrCaCl2

---

Q: Among the records above, which one has the highest calculated volume?
A: SrCaCl2